[1]
Below is a PBEsol-optimized structure of Fe23B6, with properties calculated at the SCAN level.

Calculated values
Raw total energy = -16.09 eV/atom

The structure in POSCAR format:
```
Fe23B6
1.0
0.000 5.202 5.202
5.202 0.000 5.202
5.202 5.202 0.000
Fe B
23 6
direct
0.000 0.000 0.000
0.000 0.000 0.343
0.000 0.000 0.657
0.000 0.343 0.000
0.000 0.343 0.657
0.000 0.657 0.000
0.000 0.657 0.343
0.142 0.619 0.619
0.250 0.250 0.250
0.343 0.000 0.000
0.343 0.000 0.657
0.343 0.657 0.000
0.381 0.381 0.381
0.381 0.381 0.858
0.381 0.858 0.381
0.619 0.142 0.619
0.619 0.619 0.142
0.619 0.619 0.619
0.657 0.000 0.000
0.657 0.000 0.343
0.657 0.343 0.000
0.750 0.750 0.750
0.858 0.381 0.381
0.276 0.276 0.724
0.276 0.724 0.276
0.276 0.724 0.724
0.724 0.276 0.276
0.724 0.276 0.724
0.724 0.724 0.276
```

=====

[2]
Below is a PBEsol-optimized structure of In3Ag4, with properties calculated at the SCAN level.

Calculated values
Raw total energy = -32.21 eV/atom

The structure in POSCAR format:
```
In3Ag4
1.0
-1.793 1.793 10.462
1.793 -1.793 10.462
1.793 1.793 -10.462
In Ag
3 4
direct
0.000 0.000 0.000
0.293 0.293 0.000
0.707 0.707 0.000
0.139 0.139 0.000
0.429 0.429 0.000
0.571 0.571 0.000
0.861 0.861 0.000
```

=====

[3]
Below is a PBEsol-optimized structure of CsAlCu3, with properties calculated at the SCAN level.

Calculated values
Raw total energy = -17.71 eV/atom

The structure in POSCAR format:
```
CsAlCu3
1.0
4.829 0.000 0.000
0.000 4.829 0.000
0.000 0.000 4.829
Cs Al Cu
1 1 3
direct
0.000 0.000 0.000
0.500 0.500 0.500
0.000 0.500 0.500
0.500 0.000 0.500
0.500 0.500 0.000
```

=====

[4]
Below is a PBEsol-optimized structure of Mn2BePt, with properties calculated at the SCAN level.

Calculated values
Raw total energy = -28.06 eV/atom

The structure in POSCAR format:
```
Mn2BePt
1.0
2.603 0.000 0.000
0.000 2.603 0.000
0.000 0.000 6.561
Mn Be Pt
2 1 1
direct
0.000 0.000 0.213
0.000 0.000 0.787
0.500 0.500 0.000
0.500 0.500 0.500
```

=====

[5]
Below is a PBEsol-optimized structure of Cu3TePbO7, with properties calculated at the SCAN level.

Calculated values
E_form (uncorrected) = -0.99 eV per atom

The structure in POSCAR format:
```
Cu3TePbO7
1.0
10.582 0.000 0.000
0.000 6.349 0.000
0.000 0.000 8.692
Cu Te Pb O
12 4 4 28
direct
0.110 0.009 0.122
0.110 0.491 0.122
0.244 0.250 0.407
0.256 0.750 0.907
0.390 0.509 0.622
0.390 0.991 0.622
0.610 0.009 0.378
0.610 0.491 0.378
0.744 0.250 0.093
0.756 0.750 0.593
0.890 0.509 0.878
0.890 0.991 0.878
0.113 0.250 0.796
0.387 0.750 0.296
0.613 0.250 0.704
0.887 0.750 0.204
0.108 0.750 0.542
0.392 0.250 0.042
0.608 0.750 0.958
0.892 0.250 0.458
0.008 0.028 0.707
0.008 0.472 0.707
0.020 0.750 0.043
0.198 0.250 0.201
0.206 0.043 0.926
0.206 0.457 0.926
0.235 0.250 0.636
0.265 0.750 0.136
0.294 0.543 0.426
0.294 0.957 0.426
0.302 0.750 0.701
0.480 0.250 0.543
0.492 0.528 0.207
0.492 0.972 0.207
0.508 0.028 0.793
0.508 0.472 0.793
0.520 0.750 0.457
0.698 0.250 0.299
0.706 0.043 0.574
0.706 0.457 0.574
0.735 0.250 0.864
0.765 0.750 0.364
0.794 0.543 0.074
0.794 0.957 0.074
0.802 0.750 0.799
0.980 0.250 0.957
0.992 0.528 0.293
0.992 0.972 0.293
```

=====

[6]
Below is a PBEsol-optimized structure of Ga2BiAs, with properties calculated at the SCAN level.

Calculated values
Raw total energy = -32.99 eV/atom

The structure in POSCAR format:
```
Ga2BiAs
1.0
4.229 0.000 0.000
0.000 4.229 0.000
0.000 0.000 6.035
Ga Bi As
2 1 1
direct
0.000 0.500 0.225
0.500 0.000 0.775
0.500 0.500 0.500
0.000 0.000 0.000
```

=====

[7]
Below is a PBEsol-optimized structure of Cr2AsRu, with properties calculated at the SCAN level.

Calculated values
Raw total energy = -22.89 eV/atom

The structure in POSCAR format:
```
Cr2AsRu
1.0
-1.760 1.760 4.010
1.760 -1.760 4.010
1.760 1.760 -4.010
Cr As Ru
2 1 1
direct
0.250 0.750 0.500
0.750 0.250 0.500
0.000 0.000 0.000
0.500 0.500 0.000
```

=====

[8]
Below is a PBEsol-optimized structure of Ga2CoSbS, with properties calculated at the SCAN level.

Calculated values
E_form (uncorrected) = 0.84 eV per atom

The structure in POSCAR format:
```
Ga2CoSbS
1.0
4.607 0.000 0.000
0.000 4.607 0.000
0.000 0.000 5.129
Ga Co Sb S
2 1 1 1
direct
0.000 0.500 0.000
0.500 0.000 0.000
0.000 0.000 0.500
0.500 0.500 0.500
0.500 0.500 0.000
```

=====

[9]
Below is a PBEsol-optimized structure of BaTiGaF2, with properties calculated at the SCAN level.

Calculated values
E_form (uncorrected) = -0.46 eV per atom

The structure in POSCAR format:
```
BaTiGaF2
1.0
4.459 0.000 0.000
0.000 4.459 0.000
0.000 0.000 6.292
Ba Ti Ga F
1 1 1 2
direct
0.000 0.000 0.000
0.500 0.500 0.000
0.000 0.000 0.500
0.000 0.500 0.500
0.500 0.000 0.500
```

=====

[10]
Below is a PBEsol-optimized structure of Li8PrO6, with properties calculated at the SCAN level.

Calculated values
E_form (uncorrected) = -2.12 eV per atom

The structure in POSCAR format:
```
Li8PrO6
1.0
2.819 1.627 5.524
-2.819 1.627 5.524
0.000 -3.255 5.524
Li Pr O
8 1 6
direct
0.001 0.722 0.404
0.130 0.130 0.130
0.278 0.596 0.999
0.404 0.001 0.722
0.596 0.999 0.278
0.722 0.404 0.001
0.870 0.870 0.870
0.999 0.278 0.596
0.500 0.500 0.500
0.100 0.386 0.745
0.255 0.900 0.614
0.386 0.745 0.100
0.614 0.255 0.900
0.745 0.100 0.386
0.900 0.614 0.255
```

=====

[11]
Below is a PBEsol-optimized structure of K2AgAuBr6, with properties calculated at the SCAN level.

Calculated values
E_form (uncorrected) = -0.91 eV per atom

The structure in POSCAR format:
```
K2AgAuBr6
1.0
0.000 5.282 5.282
5.282 0.000 5.282
5.282 5.282 0.000
K Ag Au Br
2 1 1 6
direct
0.250 0.250 0.250
0.750 0.750 0.750
0.000 0.000 0.000
0.500 0.500 0.500
0.251 0.251 0.749
0.251 0.749 0.251
0.251 0.749 0.749
0.749 0.251 0.251
0.749 0.251 0.749
0.749 0.749 0.251
```

=====

[12]
Below is a PBEsol-optimized structure of TiGaSb3, with properties calculated at the SCAN level.

Calculated values
E_form (uncorrected) = 0.76 eV per atom

The structure in POSCAR format:
```
TiGaSb3
1.0
5.158 0.000 0.000
0.000 5.158 0.000
0.000 0.000 5.158
Ti Ga Sb
1 1 3
direct
0.000 0.000 0.000
0.500 0.500 0.500
0.000 0.500 0.500
0.500 0.000 0.500
0.500 0.500 0.000
```

=====

M_tot (Bohr magnetons per cell)
52.34; 0.00; 0.00; 6.82; 3.93; 0.00; 0.00; 1.92; 4.23; 1.02; 0.00; 2.35